# 1
Density functional theory data (PBE) for a relaxed Rb2DyTmO4 crystal.

Unit cell a=3.4426 b=3.4426 c=12.8946 alpha=90.00 beta=90.00 gamma=120.00
Last column: nearest neighbours and their distance in Å.
Fractional positions:
O1 0.6667 0.3333 0.9128  3 Tm 2.28
O2 0.6667 0.3333 0.5904  3 Dy 2.30
O3 0.3333 0.6667 0.0872  3 Tm 2.28
Rb1 0.3333 0.6667 0.7506  6 O 2.87-2.89
O4 0.3333 0.6667 0.4096  3 Dy 2.30
Tm1 0.0000 0.0000 0.0000  6 O 2.28
Dy1 0.0000 0.0000 0.5000  6 O 2.30
Rb2 0.6667 0.3333 0.2494  6 O 2.87-2.89

---

# 2
Density functional theory data (PBE) for a relaxed DyReO4 crystal.

Unit cell a=6.4576 b=6.4576 c=5.0390 alpha=110.11 beta=110.11 gamma=115.66
Last column: nearest neighbours and their distance in Å.
Fractional positions:
Re1 0.5951 0.4049 0.2500  4 O 1.89-1.94
Re2 0.4049 0.5951 0.7500  4 O 1.89-1.94
O1 0.8614 0.4379 0.1535  1 Re 1.89
O2 0.7673 0.7091 0.7172  1 Re 1.94
Dy1 0.8646 0.1354 0.7500  8 O 2.29-2.47
O3 0.2910 0.2327 0.7828  1 Re 1.94
O4 0.5621 0.1386 0.3465  1 Re 1.89
O5 0.7090 0.7673 0.2172  1 Re 1.94
O6 0.2327 0.2910 0.2828  1 Re 1.94
Dy2 0.1354 0.8646 0.2500  8 O 2.29-2.47
O7 0.1386 0.5621 0.8465  1 Re 1.89
O8 0.4379 0.8614 0.6535  1 Re 1.89

---

# 3
Density functional theory data (PBE) for a relaxed DyRe2O4 crystal.

Unit cell a=6.3581 b=6.3581 c=6.3581 alpha=119.99 beta=90.03 gamma=119.99
Last column: nearest neighbours and their distance in Å.
Fractional positions:
O1 0.1666 0.7778 0.3888  3 Re 2.13, 1 Dy 2.16
O2 0.6111 0.2222 0.3888  3 Re 2.13, 1 Dy 2.16
Dy1 0.0000 0.0000 0.0000  4 O 2.16
O3 0.1388 0.2778 0.4166  3 Re 2.13, 1 Dy 2.16
O4 0.1388 0.7222 0.8610  3 Re 2.13, 1 Dy 2.16
Dy2 0.7500 0.5000 0.2500  4 O 2.16
Re1 0.3750 0.7500 0.1250  6 O 2.13
Re2 0.8750 0.2500 0.6250  6 O 2.13
O5 0.5834 0.7222 0.8612  3 Re 2.13, 1 Dy 2.16
Re3 0.3750 0.7500 0.6250  6 O 2.13
O6 0.6112 0.7778 0.3889  3 Re 2.13, 1 Dy 2.16
O7 0.6112 0.2222 0.8334  3 Re 2.13, 1 Dy 2.16
Re4 0.3750 0.2500 0.6250  6 O 2.13
O8 0.1390 0.2778 0.8612  3 Re 2.13, 1 Dy 2.16

---

# 4
Density functional theory data (PBE) for a relaxed Dy6ReO12 crystal.

Unit cell a=6.4293 b=6.4293 c=6.4293 alpha=98.72 beta=98.72 gamma=98.72
Last column: nearest neighbours and their distance in Å.
Fractional positions:
O1 0.5667 0.4105 0.8226  4 Dy 2.19-2.28
O2 0.8226 0.5667 0.4105  4 Dy 2.19-2.28
O3 0.5895 0.1774 0.4333  4 Dy 2.19-2.28
O4 0.4105 0.8226 0.5667  4 Dy 2.19-2.28
Re1 0.0000 0.0000 0.0000  6 O 1.95
O5 0.2971 0.0736 0.9645  1 Re 1.95
Dy1 0.1440 0.6112 0.3143  6 O 2.19-2.40
O6 0.9645 0.2971 0.0736  1 Re 1.95
Dy2 0.6112 0.3143 0.1440  6 O 2.19-2.40
O7 0.0355 0.7029 0.9264  1 Re 1.95
O8 0.1774 0.4333 0.5895  4 Dy 2.19-2.28
Dy3 0.6857 0.8560 0.3888  6 O 2.19-2.40
O9 0.7029 0.9264 0.0355  1 Re 1.95
O10 0.9264 0.0355 0.7029  1 Re 1.95
Dy4 0.3888 0.6857 0.8560  6 O 2.19-2.40
Dy5 0.8560 0.3888 0.6857  6 O 2.19-2.40
O11 0.4333 0.5895 0.1774  4 Dy 2.19-2.28
Dy6 0.3143 0.1440 0.6112  6 O 2.19-2.40
O12 0.0736 0.9645 0.2971  1 Re 1.95

---

# 5
Density functional theory data (PBE) for a relaxed Dy3ReO7 crystal.

Unit cell a=6.3970 b=6.3970 c=7.4061 alpha=90.00 beta=90.00 gamma=70.62
Last column: nearest neighbours and their distance in Å.
Fractional positions:
Dy1 0.4657 0.0000 0.5008  7 O 2.20-2.42
O1 0.6309 0.6309 0.5000  4 Dy 2.24-2.30
O2 0.6761 0.0774 0.7213  1 Re 1.97
O3 0.0725 0.6791 0.7195  1 Re 1.96
O4 0.6791 0.0725 0.2805  1 Re 1.96
Re1 0.0002 0.9998 0.2500  6 O 1.96-1.99
O5 0.9298 0.9298 0.0000  2 Re 1.99
O6 0.6359 0.6359 0.0000  4 Dy 2.20-2.33
O7 0.9275 0.3209 0.2195  1 Re 1.96
Dy2 0.0000 0.4657 0.4992  7 O 2.20-2.42
O8 0.0702 0.0702 0.5000  2 Re 1.99
O9 0.3209 0.9275 0.7805  1 Re 1.96
Re2 0.9998 0.0002 0.7500  6 O 1.96-1.99
O10 0.3691 0.3691 0.0000  4 Dy 2.24-2.30
O11 0.0774 0.6761 0.2787  1 Re 1.97
Dy3 0.5343 0.0000 0.0008  7 O 2.20-2.42
O12 0.9226 0.3239 0.7787  1 Re 1.97
O13 0.3239 0.9226 0.2213  1 Re 1.97
O14 0.3641 0.3641 0.5000  4 Dy 2.20-2.33
Dy4 0.0000 0.5343 0.9992  7 O 2.20-2.42
Dy5 0.4961 0.5039 0.2500  6 O 2.30-2.54
Dy6 0.5039 0.4961 0.7500  6 O 2.30-2.54

---

# 6
Density functional theory data (PBE) for a relaxed Dy2TmReO6 crystal.

Unit cell a=5.0551 b=5.0740 c=5.6448 alpha=73.73 beta=75.94 gamma=89.83
Last column: nearest neighbours and their distance in Å.
Fractional positions:
O1 0.7016 0.2886 0.1343  1 Re 2.18, 1 Tm 2.25, 2 Dy 2.26-2.28
O2 0.7638 0.0308 0.7115  1 Re 2.03, 1 Tm 2.21
O3 0.2362 0.9692 0.2885  1 Re 2.03, 1 Tm 2.21
O4 0.7178 0.7099 0.3319  1 Re 2.13, 2 Dy 2.21-2.23, 1 Tm 2.21
Dy1 0.6532 0.4640 0.7342  5 O 2.21-2.30
Dy2 0.3468 0.5360 0.2658  5 O 2.21-2.30
O5 0.2984 0.7114 0.8657  1 Re 2.18, 1 Tm 2.25, 2 Dy 2.26-2.28
Re1 0.5000 0.0000 0.5000  6 O 2.03-2.18
Tm1 0.0000 0.0000 0.0000  6 O 2.21-2.25
O6 0.2822 0.2901 0.6681  1 Re 2.13, 2 Dy 2.21-2.23, 1 Tm 2.21

---

# 7
Density functional theory data (PBE) for a relaxed Dy2SO2 crystal.

Unit cell a=8.0088 b=8.0088 c=3.6727 alpha=90.00 beta=90.00 gamma=150.31
Last column: nearest neighbours and their distance in Å.
Fractional positions:
Dy1 0.6178 0.3822 0.5000  2 O 2.05
O1 0.6765 0.3235 0.0000  2 Dy 2.05
Dy2 0.3822 0.6178 0.5000  2 O 2.05
O2 0.3235 0.6765 0.0000  2 Dy 2.05
S1 0.0000 0.0000 0.5000  4 Dy 2.75

---

# 8
Density functional theory data (PBE) for a relaxed Dy2S2O crystal.

Results
distance to the lowest polymorph of the same formula	0	meV per atom

Unit cell a=8.2563 b=6.9006 c=6.8497 alpha=90.00 beta=99.38 gamma=90.00
Last column: nearest neighbours and their distance in Å.
Fractional positions:
O1 0.6170 0.9126 0.6494  4 Dy 2.25-2.29
O2 0.6170 0.5874 0.1494  4 Dy 2.25-2.29
Dy1 0.4238 0.1431 0.6796  3 O 2.25-2.29
Dy2 0.8623 0.4461 0.2498  1 O 2.25
Dy3 0.8623 0.0539 0.7498  1 O 2.25
Dy4 0.5762 0.8569 0.3204  3 O 2.25-2.29
S1 0.3192 0.8656 0.9245  4 Dy 2.77-2.94
Dy5 0.5762 0.6431 0.8204  3 O 2.25-2.29
S2 0.6808 0.3656 0.5755  4 Dy 2.77-2.94
S3 0.9238 0.7768 0.4701  5 Dy 2.74-2.94
S4 0.0762 0.2768 0.0299  5 Dy 2.74-2.94
S5 0.6808 0.1344 0.0755  4 Dy 2.77-2.94
O3 0.3830 0.4126 0.8506  4 Dy 2.25-2.29
Dy6 0.4238 0.3569 0.1796  3 O 2.25-2.29
S6 0.0762 0.2232 0.5299  5 Dy 2.74-2.94
S7 0.9238 0.7232 0.9701  5 Dy 2.74-2.94
Dy7 0.1377 0.5539 0.7502  1 O 2.25
Dy8 0.1377 0.9461 0.2502  1 O 2.25
O4 0.3830 0.0874 0.3506  4 Dy 2.25-2.29
S8 0.3192 0.6344 0.4245  4 Dy 2.77-2.94

---

What are the density values for these records? In order: 7.1 9.5 10.9 8.8 9.1 9.6 5.5 7.0 g/cm3.
What are the total magnetization values for these records? In order: 0.00 3.96 6.01 1.00 4.00 1.97 0.00 0.01 μB per cell.
What are the uncorrected energy values for these records? In order: -52.6 -50.5 -57.3 -159.9 -93.0 -81.4 -35.1 -35.6 eV per formula unit.